Entry 1:
# MgZn8O8 PBE optimized geometry
data_MgZn8O8
_chemical_formula_sum 'Mg1 Zn8 O8'
_space_group_name_H-M_alt 'P 3 m 1'
_space_group_IT_number 156
_space_group_name_Hall 'P 3 -2"'
_cell_length_a 6.5318
_cell_length_b 6.5318
_cell_length_c 5.4431
_cell_angle_alpha 90.00
_cell_angle_beta 90.00
_cell_angle_gamma 120.00
loop_
_atom_site_label
_atom_site_type_symbol
_atom_site_fract_x
_atom_site_fract_y
_atom_site_fract_z
Mg1 Mg 0.0000 0.0000 0.0000
Zn1 Zn 0.2003 0.4006 0.2065
Zn2 Zn 0.3333 0.6667 0.8064
Zn3 Zn 0.3374 0.1687 0.6285
Zn4 Zn 0.6667 0.3333 0.1248
O1 O 0.1473 0.2947 0.7975
O2 O 0.3204 0.1602 0.2559
O3 O 0.3333 0.6667 0.4476
O4 O 0.6667 0.3333 0.7545
# Crystal system: trigonal
# V, Å³/cell: 201.1
# E, eV/atom: -4.31

Entry 2:
# MgZn4O4 PBE optimized geometry
data_MgZn4O4
_chemical_formula_sum 'Mg8 Zn32 O32'
_space_group_name_H-M_alt 'C 1 c 1'
_space_group_IT_number 9
_space_group_name_Hall 'C -2yc'
_cell_length_a 14.694
_cell_length_b 5.905
_cell_length_c 10.436
_cell_angle_alpha 90.00
_cell_angle_beta 101.27
_cell_angle_gamma 90.00
loop_
_atom_site_label
_atom_site_type_symbol
_atom_site_fract_x
_atom_site_fract_y
_atom_site_fract_z
Mg1 Mg 0.000 0.025 0.000
Mg2 Mg 0.191 0.231 0.805
Zn1 Zn 0.001 0.218 0.735
Zn2 Zn 0.072 0.254 0.309
Zn3 Zn 0.143 0.497 0.573
Zn4 Zn 0.185 0.049 0.068
Zn5 Zn 0.279 0.330 0.381
Zn6 Zn 0.335 0.243 0.155
Zn7 Zn 0.367 0.248 0.701
Zn8 Zn 0.377 0.053 0.967
O1 O 0.081 0.245 0.126
O2 O 0.094 0.066 0.882
O3 O 0.103 0.201 0.626
O4 O 0.163 0.478 0.396
O5 O 0.270 0.478 0.713
O6 O 0.285 0.013 0.291
O7 O 0.389 0.283 0.518
O8 O 0.452 0.253 0.875
# Crystal system: monoclinic
# V, Å³/cell: 888.0
# E, eV/atom: -4.27